Model P:
The following is a PBE calculation of an optimized crystal structure of Be2TlAg, from the Alexandria database.

Properties
DOS(E_F) ... 1.44 states/eV per cell
Size of the total moment ... 0.00 μB/f.u.

a b c (Å): 4.389 3.330 4.740
angles (deg): 90.00 111.79 90.00
Atoms (fractional coordinates):
Be 0.000 0.000 0.000
Be 0.000 0.500 0.500
Tl 0.500 0.000 0.500
Ag 0.500 0.500 0.000

---

Model Q:
The following is a PBE calculation of an optimized crystal structure of Be2TlAg, from the Alexandria database.

Properties
DOS(E_F) ... 2.31 states/eV per cell
Size of the total moment ... 0.00 μB/f.u.

a b c (Å): 5.685 5.685 5.685
angles (deg): 108.98 108.98 110.46
Atoms (fractional coordinates):
Be 0.100 0.625 0.975
Be 0.375 0.350 0.475
Be 0.650 0.125 0.025
Be 0.875 0.900 0.525
Tl 0.250 0.750 0.500
Tl 0.500 0.500 0.000
Ag 0.000 0.000 0.000
Ag 0.750 0.250 0.500

---

Computed relative energies in units of eV/atom: model P 0.000; model Q 0.158

---

Model P:
The following is a PBE calculation of an optimized crystal structure of YF, from the Alexandria database.

Properties
DOS(E_F) ... 3.09 states/eV per cell
Size of the total moment ... 0.00 μB/f.u.

a b c (Å): 3.689 10.739 5.763
angles (deg): 90.00 90.00 90.00
Atoms (fractional coordinates):
Y 0.250 0.086 0.232
Y 0.250 0.414 0.232
Y 0.250 0.750 0.253
Y 0.750 0.250 0.747
Y 0.750 0.586 0.768
Y 0.750 0.914 0.768
F 0.250 0.584 0.514
F 0.250 0.750 0.850
F 0.250 0.916 0.514
F 0.750 0.084 0.486
F 0.750 0.250 0.150
F 0.750 0.416 0.486

---

Model Q:
The following is a PBE calculation of an optimized crystal structure of YF, from the Alexandria database.

Properties
DOS(E_F) ... 0.72 states/eV per cell
Size of the total moment ... 0.00 μB/f.u.

a b c (Å): 3.906 3.906 6.711
angles (deg): 90.00 90.00 120.00
Atoms (fractional coordinates):
Y 0.333 0.667 0.250
Y 0.667 0.333 0.750
F 0.333 0.667 0.750
F 0.667 0.333 0.250

---

Computed relative energies in units of eV/atom: model P 0.000; model Q 0.237